# 1
This record from the Alexandria database describes crystalline TePdPb2O6 at its relaxed geometry. The functional is PBE.

Cell lengths 5.771, 8.280, 5.968 Å; angles 90.00, 90.00, 90.00 degrees
Space group Pmmn (No. 59, origin choice 2)
One atom of each set of equivalent atoms:
Te: 0.250 0.250 0.249 [2 per cell]
Pd: 0.250 0.750 0.241 [2 per cell]
Pb: 0.250 0.528 0.719 [4 per cell]
O: 0.009 0.750 0.966 [4 per cell]
O: 0.012 0.750 0.518 [4 per cell]
O: 0.250 0.009 0.282 [4 per cell]

* E_form (uncorrected): -822.9 meV/atom
* DOS at the Fermi energy: 3.47 states/eV/cell

=====

# 2
This record from the Alexandria database describes crystalline TePAu2 at its relaxed geometry. The functional is PBE.

Cell lengths 3.192, 3.669, 7.709 Å; angles 90.00, 90.00, 90.00 degrees
Space group Pmm2 (No. 25)
One atom of each set of equivalent atoms:
Te: 0.000 0.000 0.000 [1 per cell]
P: 0.500 0.500 0.584 [1 per cell]
Au: 0.000 0.000 0.483 [1 per cell]
Au: 0.500 0.500 0.250 [1 per cell]

* E_form (uncorrected): 279.8 meV/atom
* DOS at the Fermi energy: 0.72 states/eV/cell

=====

# 3
This record from the Alexandria database describes crystalline SmLuSnRu at its relaxed geometry. The functional is PBE.

Cell lengths 7.178, 7.178, 7.178 Å; angles 90.00, 90.00, 90.00 degrees
Space group F-43m (No. 216)
One atom of each set of equivalent atoms:
Sm: 0.000 0.000 0.000 [4 per cell]
Lu: 0.000 0.000 0.500 [4 per cell]
Sn: 0.250 0.250 0.250 [4 per cell]
Ru: 0.250 0.250 0.750 [4 per cell]

* DOS at the Fermi energy: 10.15 states/eV/cell
* formation enthalpy at 0 K: -0.378 eV per atom

=====

# 4
This record from the Alexandria database describes crystalline SmScCdIn at its relaxed geometry. The functional is PBE.

Cell lengths 7.384, 7.384, 7.384 Å; angles 90.00, 90.00, 90.00 degrees
Space group F-43m (No. 216)
One atom of each set of equivalent atoms:
Sm: 0.000 0.000 0.000 [4 per cell]
Sc: 0.000 0.000 0.500 [4 per cell]
Cd: 0.250 0.250 0.750 [4 per cell]
In: 0.250 0.250 0.250 [4 per cell]

* DOS at the Fermi energy: 17.32 states/eV/cell
* formation enthalpy at 0 K: -0.382 eV per atom

=====

# 5
This record from the Alexandria database describes crystalline UAgPb2O6 at its relaxed geometry. The functional is PBE.

Cell lengths 11.179, 5.851, 5.811 Å; angles 90.00, 118.94, 90.00 degrees
Space group C2/m (No. 12)
One atom of each set of equivalent atoms:
U: 0.000 0.000 0.000 [2 per cell]
Ag: 0.000 0.500 0.500 [2 per cell]
Pb: 0.248 0.500 0.204 [4 per cell]
O: 0.079 0.250 0.825 [8 per cell]
O: 0.183 0.000 0.300 [4 per cell]

* E_form (uncorrected): -1692.8 meV/atom
* DOS at the Fermi energy: 5.45 states/eV/cell

=====

# 6
This record from the Alexandria database describes crystalline Nd2ZnPb at its relaxed geometry. The functional is PBE.

Cell lengths 3.796, 3.796, 7.695 Å; angles 90.00, 90.00, 90.00 degrees
Space group P4/mmm (No. 123)
One atom of each set of equivalent atoms:
Nd: 0.000 0.000 0.230 [2 per cell]
Zn: 0.500 0.500 0.000 [1 per cell]
Pb: 0.500 0.500 0.500 [1 per cell]

* DOS at the Fermi energy: 2.23 states/eV/cell
* formation enthalpy at 0 K: -0.410 eV per atom

=====

# 7
This record from the Alexandria database describes crystalline Tb6PmCo2 at its relaxed geometry. The functional is PBE.

Cell lengths 9.438, 9.998, 10.222 Å; angles 90.00, 90.00, 90.00 degrees
Space group Immm (No. 71)
One atom of each set of equivalent atoms:
Tb: 0.000 0.221 0.227 [8 per cell]
Tb: 0.197 0.194 0.500 [8 per cell]
Tb: 0.203 0.500 0.307 [8 per cell]
Pm: 0.000 0.000 0.000 [2 per cell]
Pm: 0.000 0.500 0.000 [2 per cell]
Co: 0.000 0.000 0.385 [4 per cell]
Co: 0.000 0.390 0.500 [4 per cell]

* DOS at the Fermi energy: 40.83 states/eV/cell
* formation enthalpy at 0 K: -0.038 eV per atom

=====

# 8
This record from the Alexandria database describes crystalline ZnCoIN2 at its relaxed geometry. The functional is PBE.

Cell lengths 3.876, 3.876, 6.444 Å; angles 90.00, 90.00, 90.00 degrees
Space group P4/mmm (No. 123)
One atom of each set of equivalent atoms:
Zn: 0.000 0.000 0.000 [1 per cell]
Co: 0.500 0.500 0.500 [1 per cell]
I: 0.000 0.000 0.500 [1 per cell]
N: 0.000 0.500 0.000 [2 per cell]

* E_form (uncorrected): 1693.0 meV/atom
* DOS at the Fermi energy: 4.55 states/eV/cell